# 1
# BaCr2Sn2 | Alexandria via LeMat-Bulk | PBE | optimized geometry
data_BaCr2Sn2
_chemical_formula_sum 'Ba2 Cr4 Sn4'
_space_group_name_H-M_alt 'P 1'
_space_group_IT_number 1
_space_group_name_Hall 'P 1'
_cell_length_a 4.985
_cell_length_b 4.985
_cell_length_c 9.668
_cell_angle_alpha 90.00
_cell_angle_beta 90.00
_cell_angle_gamma 90.00
loop_
_atom_site_label
_atom_site_type_symbol
_atom_site_fract_x
_atom_site_fract_y
_atom_site_fract_z
Ba1 Ba 0.000 0.000 0.000
Ba2 Ba 0.500 0.500 0.500
Cr1 Cr 0.000 0.000 0.407
Cr2 Cr 0.000 0.000 0.593
Cr3 Cr 0.500 0.500 0.093
Cr4 Cr 0.500 0.500 0.907
Sn1 Sn 0.000 0.500 0.250
Sn2 Sn 0.000 0.500 0.750
Sn3 Sn 0.500 0.000 0.250
Sn4 Sn 0.500 0.000 0.750
# Space group: I4/mmm (139)
# Electronic total energy in eV/atom: -5.665
# DFT formation energy in eV per atom: 0.17

***

# 2
# RbHfS3 | Alexandria via LeMat-Bulk | PBE | optimized geometry
data_RbHfS3
_chemical_formula_sum 'Rb4 Hf4 S12'
_space_group_name_H-M_alt 'P 1'
_space_group_IT_number 1
_space_group_name_Hall 'P 1'
_cell_length_a 7.286
_cell_length_b 11.281
_cell_length_c 8.261
_cell_angle_alpha 90.00
_cell_angle_beta 90.00
_cell_angle_gamma 90.00
loop_
_atom_site_label
_atom_site_type_symbol
_atom_site_fract_x
_atom_site_fract_y
_atom_site_fract_z
Rb1 Rb 0.000 0.000 0.000
Rb2 Rb 0.000 0.500 0.000
Rb3 Rb 0.500 0.000 0.500
Rb4 Rb 0.500 0.500 0.500
Hf1 Hf 0.016 0.250 0.413
Hf2 Hf 0.484 0.750 0.913
Hf3 Hf 0.516 0.250 0.087
Hf4 Hf 0.984 0.750 0.587
S1 S 0.049 0.593 0.411
S2 S 0.049 0.907 0.411
S3 S 0.159 0.750 0.838
S4 S 0.341 0.250 0.338
S5 S 0.451 0.093 0.911
S6 S 0.451 0.407 0.911
S7 S 0.549 0.593 0.089
S8 S 0.549 0.907 0.089
S9 S 0.659 0.750 0.662
S10 S 0.841 0.250 0.162
S11 S 0.951 0.093 0.589
S12 S 0.951 0.407 0.589
# Space group: Pnma (62)
# Energy relative to the elements, uncorrected in meV/atom: -1129.0
# Electronic total energy in eV/atom: -5.790

***

# 3
# CeLuTlAu | Alexandria via LeMat-Bulk | PBE | optimized geometry
data_CeLuTlAu
_chemical_formula_sum 'Ce4 Lu4 Tl4 Au4'
_space_group_name_H-M_alt 'P 1'
_space_group_IT_number 1
_space_group_name_Hall 'P 1'
_cell_length_a 7.464
_cell_length_b 7.464
_cell_length_c 7.464
_cell_angle_alpha 90.00
_cell_angle_beta 90.00
_cell_angle_gamma 90.00
loop_
_atom_site_label
_atom_site_type_symbol
_atom_site_fract_x
_atom_site_fract_y
_atom_site_fract_z
Ce1 Ce 0.000 0.000 0.000
Ce2 Ce 0.000 0.500 0.500
Ce3 Ce 0.500 0.000 0.500
Ce4 Ce 0.500 0.500 0.000
Lu1 Lu 0.000 0.000 0.500
Lu2 Lu 0.000 0.500 0.000
Lu3 Lu 0.500 0.000 0.000
Lu4 Lu 0.500 0.500 0.500
Tl1 Tl 0.250 0.250 0.750
Tl2 Tl 0.250 0.750 0.250
Tl3 Tl 0.750 0.250 0.250
Tl4 Tl 0.750 0.750 0.750
Au1 Au 0.250 0.250 0.250
Au2 Au 0.250 0.750 0.750
Au3 Au 0.750 0.250 0.750
Au4 Au 0.750 0.750 0.250
# Space group: F-43m (216)
# Electronic total energy in eV/atom: -4.468
# DFT formation energy in eV per atom: -0.44

***

# 4
# SrHoMo2N6 | Alexandria via LeMat-Bulk | PBE | optimized geometry
data_SrHoMo2N6
_chemical_formula_sum 'Sr2 Ho2 Mo4 N12'
_space_group_name_H-M_alt 'P 1'
_space_group_IT_number 1
_space_group_name_Hall 'P 1'
_cell_length_a 7.659
_cell_length_b 7.659
_cell_length_c 6.547
_cell_angle_alpha 107.46
_cell_angle_beta 107.46
_cell_angle_gamma 84.37
loop_
_atom_site_label
_atom_site_type_symbol
_atom_site_fract_x
_atom_site_fract_y
_atom_site_fract_z
Sr1 Sr 0.094 0.906 0.750
Sr2 Sr 0.906 0.094 0.250
Ho1 Ho 0.281 0.719 0.250
Ho2 Ho 0.719 0.281 0.750
Mo1 Mo 0.214 0.376 0.811
Mo2 Mo 0.376 0.214 0.311
Mo3 Mo 0.624 0.786 0.689
Mo4 Mo 0.786 0.624 0.189
N1 N 0.003 0.241 0.684
N2 N 0.154 0.613 0.857
N3 N 0.241 0.003 0.184
N4 N 0.315 0.378 0.119
N5 N 0.378 0.315 0.619
N6 N 0.387 0.846 0.643
N7 N 0.613 0.154 0.357
N8 N 0.622 0.685 0.381
N9 N 0.685 0.622 0.881
N10 N 0.759 0.997 0.816
N11 N 0.846 0.387 0.143
N12 N 0.997 0.759 0.316
# Space group: C2/c (15)
# Energy relative to the elements, uncorrected in meV/atom: -595.3
# Electronic total energy in eV/atom: -8.383

***

# 5
# CeSc2As | Alexandria via LeMat-Bulk | PBE | optimized geometry
data_CeSc2As
_chemical_formula_sum 'Ce3 Sc6 As3'
_space_group_name_H-M_alt 'P 1'
_space_group_IT_number 1
_space_group_name_Hall 'P 1'
_cell_length_a 3.639
_cell_length_b 3.639
_cell_length_c 26.637
_cell_angle_alpha 90.00
_cell_angle_beta 90.00
_cell_angle_gamma 120.00
loop_
_atom_site_label
_atom_site_type_symbol
_atom_site_fract_x
_atom_site_fract_y
_atom_site_fract_z
Ce1 Ce 0.000 0.000 0.000
Ce2 Ce 0.333 0.667 0.667
Ce3 Ce 0.667 0.333 0.333
Sc1 Sc 0.000 0.000 0.228
Sc2 Sc 0.000 0.000 0.772
Sc3 Sc 0.333 0.667 0.439
Sc4 Sc 0.333 0.667 0.894
Sc5 Sc 0.667 0.333 0.106
Sc6 Sc 0.667 0.333 0.561
As1 As 0.000 0.000 0.500
As2 As 0.333 0.667 0.167
As3 As 0.667 0.333 0.833
# Space group: R-3m (166)
# Electronic total energy in eV/atom: -6.292
# DFT formation energy in eV per atom: -0.48

***

# 6
# Mg3Ag2Cl8 | Alexandria via LeMat-Bulk | PBE | optimized geometry
data_Mg3Ag2Cl8
_chemical_formula_sum 'Mg3 Ag2 Cl8'
_space_group_name_H-M_alt 'P 1'
_space_group_IT_number 1
_space_group_name_Hall 'P 1'
_cell_length_a 7.513
_cell_length_b 7.513
_cell_length_c 6.502
_cell_angle_alpha 99.14
_cell_angle_beta 99.14
_cell_angle_gamma 59.34
loop_
_atom_site_label
_atom_site_type_symbol
_atom_site_fract_x
_atom_site_fract_y
_atom_site_fract_z
Mg1 Mg 0.000 0.000 0.000
Mg2 Mg 0.253 0.747 0.500
Mg3 Mg 0.747 0.253 0.500
Ag1 Ag 0.279 0.279 0.889
Ag2 Ag 0.721 0.721 0.111
Cl1 Cl 0.104 0.104 0.367
Cl2 Cl 0.120 0.655 0.134
Cl3 Cl 0.345 0.880 0.866
Cl4 Cl 0.389 0.389 0.593
Cl5 Cl 0.611 0.611 0.407
Cl6 Cl 0.655 0.120 0.134
Cl7 Cl 0.880 0.345 0.866
Cl8 Cl 0.896 0.896 0.633
# Space group: C2/m (12)
# Energy relative to the elements, uncorrected in meV/atom: -1406.0
# Electronic total energy in eV/atom: -3.349

***

# 7
# Nd2Ho5Th | Alexandria via LeMat-Bulk | PBE | optimized geometry
data_Nd2Ho5Th
_chemical_formula_sum 'Nd4 Ho10 Th2'
_space_group_name_H-M_alt 'P 1'
_space_group_IT_number 1
_space_group_name_Hall 'P 1'
_cell_length_a 7.122
_cell_length_b 14.277
_cell_length_c 5.075
_cell_angle_alpha 90.00
_cell_angle_beta 90.00
_cell_angle_gamma 90.00
loop_
_atom_site_label
_atom_site_type_symbol
_atom_site_fract_x
_atom_site_fract_y
_atom_site_fract_z
Nd1 Nd 0.249 0.124 0.000
Nd2 Nd 0.251 0.624 0.000
Nd3 Nd 0.749 0.376 0.000
Nd4 Nd 0.751 0.876 0.000
Ho1 Ho 0.000 0.500 0.500
Ho2 Ho 0.007 0.249 0.500
Ho3 Ho 0.240 0.877 0.000
Ho4 Ho 0.260 0.377 0.000
Ho5 Ho 0.493 0.749 0.500
Ho6 Ho 0.500 0.000 0.500
Ho7 Ho 0.507 0.251 0.500
Ho8 Ho 0.740 0.623 0.000
Ho9 Ho 0.760 0.123 0.000
Ho10 Ho 0.993 0.751 0.500
Th1 Th 0.000 0.000 0.500
Th2 Th 0.500 0.500 0.500
# Space group: Pbam (55)
# Electronic total energy in eV/atom: -4.951
# DFT formation energy in eV per atom: 0.03

***

# 8
# Sn2TePb2 | Alexandria via LeMat-Bulk | PBE | optimized geometry
data_Sn2TePb2
_chemical_formula_sum 'Sn4 Te2 Pb4'
_space_group_name_H-M_alt 'P 1'
_space_group_IT_number 1
_space_group_name_Hall 'P 1'
_cell_length_a 8.352
_cell_length_b 8.352
_cell_length_c 4.488
_cell_angle_alpha 90.00
_cell_angle_beta 90.00
_cell_angle_gamma 90.00
loop_
_atom_site_label
_atom_site_type_symbol
_atom_site_fract_x
_atom_site_fract_y
_atom_site_fract_z
Sn1 Sn 0.132 0.368 0.000
Sn2 Sn 0.368 0.868 0.000
Sn3 Sn 0.632 0.132 0.000
Sn4 Sn 0.868 0.632 0.000
Te1 Te 0.000 0.000 0.000
Te2 Te 0.500 0.500 0.000
Pb1 Pb 0.170 0.670 0.500
Pb2 Pb 0.330 0.170 0.500
Pb3 Pb 0.670 0.830 0.500
Pb4 Pb 0.830 0.330 0.500
# Space group: P4/mbm (127)
# Energy relative to the elements, uncorrected in meV/atom: 76.5
# Electronic total energy in eV/atom: -3.636

***

# 9
# Cs2LiGaCl6 | Alexandria via LeMat-Bulk | PBE | optimized geometry
data_Cs2LiGaCl6
_chemical_formula_sum 'Cs2 Li1 Ga1 Cl6'
_space_group_name_H-M_alt 'P 1'
_space_group_IT_number 1
_space_group_name_Hall 'P 1'
_cell_length_a 7.281
_cell_length_b 7.281
_cell_length_c 7.281
_cell_angle_alpha 120.19
_cell_angle_beta 120.19
_cell_angle_gamma 89.66
loop_
_atom_site_label
_atom_site_type_symbol
_atom_site_fract_x
_atom_site_fract_y
_atom_site_fract_z
Cs1 Cs 0.250 0.750 0.500
Cs2 Cs 0.750 0.250 0.500
Li1 Li 0.000 0.000 0.000
Ga1 Ga 0.500 0.500 0.000
Cl1 Cl 0.264 0.264 0.527
Cl2 Cl 0.264 0.736 0.000
Cl3 Cl 0.266 0.266 0.000
Cl4 Cl 0.734 0.734 0.000
Cl5 Cl 0.736 0.264 0.000
Cl6 Cl 0.736 0.736 0.473
# Space group: I4/mmm (139)
# Energy relative to the elements, uncorrected in meV/atom: -1601.1
# Electronic total energy in eV/atom: -3.374

***

# 10
# TiAuSCl2 | Alexandria via LeMat-Bulk | PBE | optimized geometry
data_TiAuSCl2
_chemical_formula_sum 'Ti1 Au1 S1 Cl2'
_space_group_name_H-M_alt 'P 1'
_space_group_IT_number 1
_space_group_name_Hall 'P 1'
_cell_length_a 4.744
_cell_length_b 4.744
_cell_length_c 4.808
_cell_angle_alpha 90.00
_cell_angle_beta 90.00
_cell_angle_gamma 90.00
loop_
_atom_site_label
_atom_site_type_symbol
_atom_site_fract_x
_atom_site_fract_y
_atom_site_fract_z
Ti1 Ti 0.000 0.000 0.000
Au1 Au 0.500 0.500 0.500
S1 S 0.000 0.000 0.500
Cl1 Cl 0.000 0.500 0.000
Cl2 Cl 0.500 0.000 0.000
# Space group: P4/mmm (123)
# Energy relative to the elements, uncorrected in meV/atom: -493.4
# Electronic total energy in eV/atom: -4.292

***

# 11
# Sr4Fe12Sb | Alexandria via LeMat-Bulk | PBE | optimized geometry
data_Sr4Fe12Sb
_chemical_formula_sum 'Sr4 Fe12 Sb1'
_space_group_name_H-M_alt 'P 1'
_space_group_IT_number 1
_space_group_name_Hall 'P 1'
_cell_length_a 8.039
_cell_length_b 8.039
_cell_length_c 8.039
_cell_angle_alpha 109.47
_cell_angle_beta 109.47
_cell_angle_gamma 109.47
loop_
_atom_site_label
_atom_site_type_symbol
_atom_site_fract_x
_atom_site_fract_y
_atom_site_fract_z
Sr1 Sr 0.000 0.000 0.500
Sr2 Sr 0.000 0.500 0.000
Sr3 Sr 0.500 0.000 0.000
Sr4 Sr 0.500 0.500 0.500
Fe1 Fe 0.120 0.383 0.503
Fe2 Fe 0.120 0.617 0.737
Fe3 Fe 0.263 0.880 0.383
Fe4 Fe 0.383 0.263 0.880
Fe5 Fe 0.383 0.503 0.120
Fe6 Fe 0.497 0.880 0.617
Fe7 Fe 0.503 0.120 0.383
Fe8 Fe 0.617 0.497 0.880
Fe9 Fe 0.617 0.737 0.120
Fe10 Fe 0.737 0.120 0.617
Fe11 Fe 0.880 0.383 0.263
Fe12 Fe 0.880 0.617 0.497
Sb1 Sb 0.000 0.000 0.000
# Space group: Im-3 (204)
# Energy relative to the elements, uncorrected in meV/atom: 1369.6
# Electronic total energy in eV/atom: -5.242

***

# 12
# CsK2AcI6 | Alexandria via LeMat-Bulk | PBE | optimized geometry
data_CsK2AcI6
_chemical_formula_sum 'Cs1 K2 Ac1 I6'
_space_group_name_H-M_alt 'P 1'
_space_group_IT_number 1
_space_group_name_Hall 'P 1'
_cell_length_a 9.560
_cell_length_b 9.560
_cell_length_c 9.560
_cell_angle_alpha 56.18
_cell_angle_beta 56.18
_cell_angle_gamma 56.18
loop_
_atom_site_label
_atom_site_type_symbol
_atom_site_fract_x
_atom_site_fract_y
_atom_site_fract_z
Cs1 Cs 0.000 0.000 0.000
K1 K 0.199 0.199 0.199
K2 K 0.713 0.713 0.713
Ac1 Ac 0.515 0.515 0.515
I1 I 0.144 0.423 0.767
I2 I 0.342 0.898 0.570
I3 I 0.423 0.767 0.144
I4 I 0.570 0.342 0.898
I5 I 0.767 0.144 0.423
I6 I 0.898 0.570 0.342
# Space group: R3 (146)
# Energy relative to the elements, uncorrected in meV/atom: -1527.7
# Electronic total energy in eV/atom: -3.173